# TlCu2Pb2, relaxed, DFT PBE
# relative energy among the computed polymorphs = 0.070 eV/atom
# M_tot = 0.00 μB per formula unit
# DFT total energy = -16.608 eV per cell
data_TlCu2Pb2
_chemical_formula_sum 'Tl1 Cu2 Pb2'
_cell_length_a 4.940
_cell_length_b 4.940
_cell_length_c 6.232
_cell_angle_alpha 66.65
_cell_angle_beta 66.65
_cell_angle_gamma 90.00
_symmetry_space_group_name_H-M 'P 1'
_symmetry_Int_Tables_number 1
_symmetry_space_group_name_Hall 'P 1'
loop_
_atom_site_label
_atom_site_fract_x
_atom_site_fract_y
_atom_site_fract_z
Pb1 0.250 0.750 0.500
Pb2 0.750 0.250 0.500
Cu1 0.383 0.383 0.233
Cu2 0.617 0.617 0.767
Tl1 0.000 0.000 0.000


# Tb5Ho2Ge4, relaxed, DFT PBE
# M_tot = 0.00 μB per formula unit
# DFT total energy = -53.763 eV per cell
data_Tb5Ho2Ge4
_chemical_formula_sum 'Tb5 Ho2 Ge4'
_cell_length_a 3.760
_cell_length_b 8.001
_cell_length_c 10.783
_cell_angle_alpha 96.58
_cell_angle_beta 100.04
_cell_angle_gamma 90.00
_symmetry_space_group_name_H-M 'P 1'
_symmetry_Int_Tables_number 1
_symmetry_space_group_name_Hall 'P 1'
loop_
_atom_site_label
_atom_site_fract_x
_atom_site_fract_y
_atom_site_fract_z
Tb1 0.840 0.028 0.681
Tb2 0.898 0.575 0.795
Tb3 0.160 0.972 0.319
Tb4 0.102 0.425 0.205
Tb5 0.500 0.000 0.000
Ho1 0.734 0.668 0.468
Ho2 0.266 0.332 0.532
Ge1 0.604 0.712 0.207
Ge2 0.974 0.269 0.949
Ge3 0.396 0.288 0.793
Ge4 0.026 0.731 0.051


Please write out number 2 again, unchanged.
# Tb5Ho2Ge4, relaxed, DFT PBE
# M_tot = 0.00 μB per formula unit
# DFT total energy = -53.763 eV per cell
data_Tb5Ho2Ge4
_chemical_formula_sum 'Tb5 Ho2 Ge4'
_cell_length_a 3.760
_cell_length_b 8.001
_cell_length_c 10.783
_cell_angle_alpha 96.58
_cell_angle_beta 100.04
_cell_angle_gamma 90.00
_symmetry_space_group_name_H-M 'P 1'
_symmetry_Int_Tables_number 1
_symmetry_space_group_name_Hall 'P 1'
loop_
_atom_site_label
_atom_site_fract_x
_atom_site_fract_y
_atom_site_fract_z
Tb1 0.840 0.028 0.681
Tb2 0.898 0.575 0.795
Tb3 0.160 0.972 0.319
Tb4 0.102 0.425 0.205
Tb5 0.500 0.000 0.000
Ho1 0.734 0.668 0.468
Ho2 0.266 0.332 0.532
Ge1 0.604 0.712 0.207
Ge2 0.974 0.269 0.949
Ge3 0.396 0.288 0.793
Ge4 0.026 0.731 0.051